Below is a crystal of Mn2SiH2 relaxed with PBEsol, with properties calculated at the SCAN level.

```
Mn2SiH2
1.0
-1.385 1.385 4.864
1.385 -1.385 4.864
1.385 1.385 -4.864
Mn Si H
2 1 2
Cartesian
0.000 0.000 1.402
0.000 0.000 8.326
0.000 0.000 4.864
1.385 0.000 2.432
0.000 1.385 2.432
```

D(E_F)   2.93 states/eV/cell
Final energy   -54.0 eV per cell